1.
VASP calculation (PBEsol) on crystalline MgSb2Cl at its relaxed geometry.

Unit cell a=3.353 b=5.030 c=6.860 alpha=109.57 beta=90.00 gamma=109.47
Fractional coordinates of all 4 atoms:
Cl (0.567, 0.133, 0.616)
Mg (0.266, 0.532, 0.629)
Sb (0.938, 0.876, 0.021)
Sb (0.729, 0.459, 0.234)

Calculated values
The relative energy among the computed polymorphs comes out at 0.000 eV/atom. As for the symmetry: No. 8. For the raw formation energy, the calculation gives -0.49 eV/atom.

---

2.
VASP calculation (PBEsol) on crystalline Sr2ScBr at its relaxed geometry.

Unit cell a=3.881 b=6.866 c=6.758 alpha=119.18 beta=90.00 gamma=106.42
Fractional coordinates of all 4 atoms:
Br (0.500, 0.000, 0.000)
Sc (0.000, 0.000, 0.500)
Sr (0.790, 0.580, 0.789)
Sr (0.210, 0.420, 0.211)

Calculated values
The relative energy among the computed polymorphs comes out at 0.000 eV/atom. As for the symmetry: No. 12. For the raw formation energy, the calculation gives -0.24 eV/atom.

---

3.
VASP calculation (PBEsol) on crystalline KRb3Ag at its relaxed geometry.

Unit cell a=6.932 b=6.932 c=6.932 alpha=90.00 beta=90.00 gamma=90.00
Fractional coordinates of all 5 atoms:
K (0.500, 0.500, 0.500)
Ag (0.000, 0.000, 0.000)
Rb (0.000, 0.500, 0.000)
Rb (0.000, 0.000, 0.500)
Rb (0.500, 0.000, 0.000)

Calculated values
The relative energy among the computed polymorphs comes out at 0.000 eV/atom. As for the symmetry: No. 221. The energy of formation from the pure elements is 57 kJ/mol of formula units.

---

4.
VASP calculation (PBEsol) on crystalline BaTaNO2 at its relaxed geometry.

Unit cell a=4.590 b=4.467 c=4.467 alpha=90.00 beta=90.00 gamma=90.00
Fractional coordinates of all 5 atoms:
N (0.500, 0.000, 0.000)
Ba (0.000, 0.000, 0.000)
O (0.000, 0.000, 0.500)
O (0.000, 0.500, 0.000)
Ta (0.500, 0.500, 0.500)

Calculated values
As for the symmetry: No. 123. For the raw formation energy, the calculation gives 1.31 eV/atom.

---

5.
VASP calculation (PBEsol) on crystalline AgPtPb3 at its relaxed geometry.

Unit cell a=5.295 b=5.295 c=5.295 alpha=90.00 beta=90.00 gamma=90.00
Fractional coordinates of all 5 atoms:
Pb (0.000, 0.500, 0.000)
Pb (0.000, 0.000, 0.500)
Pb (0.500, 0.000, 0.000)
Ag (0.500, 0.500, 0.500)
Pt (0.000, 0.000, 0.000)

Calculated values
As for the symmetry: No. 221. The energy of formation from the pure elements is 195 kJ/mol of formula units.

---

6.
VASP calculation (PBEsol) on crystalline LaBeCd4 at its relaxed geometry.

Unit cell a=5.750 b=5.750 c=5.750 alpha=60.00 beta=60.00 gamma=60.00
Fractional coordinates of all 6 atoms:
Be (0.000, 0.000, 0.000)
Cd (0.375, 0.375, 0.375)
Cd (0.375, 0.375, 0.876)
Cd (0.876, 0.375, 0.375)
Cd (0.375, 0.876, 0.375)
La (0.750, 0.750, 0.750)

Calculated values
As for the symmetry: No. 216. The energy of formation from the pure elements is 99 kJ/mol of formula units.

---

7.
VASP calculation (PBEsol) on crystalline LaPbCl2 at its relaxed geometry.

Unit cell a=3.747 b=5.618 c=6.184 alpha=112.29 beta=90.00 gamma=109.48
Fractional coordinates of all 4 atoms:
Pb (0.202, 0.404, 0.782)
Cl (0.019, 0.039, 0.006)
Cl (0.798, 0.595, 0.397)
La (0.481, 0.962, 0.315)

Calculated values
The relative energy among the computed polymorphs comes out at 0.000 eV/atom. As for the symmetry: No. 8. For the raw formation energy, the calculation gives -1.34 eV/atom.

---

8.
VASP calculation (PBEsol) on crystalline KTl3 at its relaxed geometry.

Unit cell a=7.037 b=7.037 c=16.702 alpha=90.00 beta=90.00 gamma=120.00
Fractional coordinates of all 24 atoms:
K (0.000, 0.000, 0.250)
K (0.000, 0.000, 0.750)
K (0.333, 0.667, 0.592)
K (0.333, 0.667, 0.908)
K (0.667, 0.333, 0.092)
K (0.667, 0.333, 0.408)
Tl (0.487, 0.513, 0.250)
Tl (0.025, 0.513, 0.250)
Tl (0.487, 0.975, 0.250)
Tl (0.513, 0.487, 0.750)
Tl (0.975, 0.487, 0.750)
Tl (0.513, 0.025, 0.750)
Tl (0.169, 0.831, 0.081)
Tl (0.662, 0.831, 0.081)
Tl (0.169, 0.338, 0.081)
Tl (0.169, 0.831, 0.419)
Tl (0.662, 0.831, 0.419)
Tl (0.169, 0.338, 0.419)
Tl (0.831, 0.169, 0.919)
Tl (0.338, 0.169, 0.919)
Tl (0.831, 0.662, 0.919)
Tl (0.831, 0.169, 0.581)
Tl (0.338, 0.169, 0.581)
Tl (0.831, 0.662, 0.581)

Calculated values
As for the symmetry: No. 194. The energy of formation from the pure elements is -12 kJ/mol of formula units.

---

9.
VASP calculation (PBEsol) on crystalline BeTe2 at its relaxed geometry.

Unit cell a=3.434 b=3.434 c=23.819 alpha=90.00 beta=90.00 gamma=120.00
Fractional coordinates of all 9 atoms:
Be (0.000, 0.000, 0.500)
Be (0.667, 0.333, 0.152)
Be (0.333, 0.667, 0.848)
Te (0.000, 0.000, 0.095)
Te (0.000, 0.000, 0.905)
Te (0.667, 0.333, 0.251)
Te (0.333, 0.667, 0.749)
Te (0.667, 0.333, 0.429)
Te (0.333, 0.667, 0.571)

Calculated values
The relative energy among the computed polymorphs comes out at 0.000 eV/atom. As for the symmetry: No. 164. For the raw formation energy, the calculation gives 0.06 eV/atom.

---

10.
VASP calculation (PBEsol) on crystalline ReNiP2S at its relaxed geometry.

Unit cell a=4.200 b=4.200 c=4.261 alpha=90.00 beta=90.00 gamma=90.00
Fractional coordinates of all 5 atoms:
Re (0.500, 0.500, 0.500)
S (0.000, 0.000, 0.500)
P (0.000, 0.500, 0.000)
P (0.500, 0.000, 0.000)
Ni (0.000, 0.000, 0.000)

Calculated values
As for the symmetry: No. 123. For the raw formation energy, the calculation gives 1.04 eV/atom.

---

11.
VASP calculation (PBEsol) on crystalline LiSi at its relaxed geometry.

Unit cell a=2.697 b=4.360 c=4.683 alpha=90.00 beta=90.00 gamma=90.00
Fractional coordinates of all 4 atoms:
Si (0.000, 0.250, 0.870)
Si (0.000, 0.750, 0.130)
Li (0.500, 0.250, 0.359)
Li (0.500, 0.750, 0.641)

Calculated values
As for the symmetry: No. 51. For the raw formation energy, the calculation gives -0.17 eV/atom.

---

12.
VASP calculation (PBEsol) on crystalline MoSe2Br at its relaxed geometry.

Unit cell a=3.245 b=3.245 c=9.393 alpha=80.12 beta=80.12 gamma=60.00
Fractional coordinates of all 4 atoms:
Br (0.000, 0.000, 0.500)
Mo (0.500, 0.500, 0.000)
Se (0.228, 0.228, 0.815)
Se (0.772, 0.772, 0.185)

Calculated values
The relative energy among the computed polymorphs comes out at 0.000 eV/atom. As for the symmetry: No. 12. For the raw formation energy, the calculation gives -0.31 eV/atom.

---

13.
VASP calculation (PBEsol) on crystalline YScRe2 at its relaxed geometry.

Unit cell a=2.999 b=4.315 c=5.842 alpha=90.00 beta=103.17 gamma=90.00
Fractional coordinates of all 4 atoms:
Re (0.973, 0.000, 0.043)
Re (0.764, 0.500, 0.226)
Sc (0.519, 0.000, 0.468)
Y (0.244, 0.500, 0.762)

Calculated values
The relative energy among the computed polymorphs comes out at 0.000 eV/atom. As for the symmetry: No. 6. The energy of formation from the pure elements is 72 kJ/mol of formula units.

---

14.
VASP calculation (PBEsol) on crystalline Zn2GaHg2 at its relaxed geometry.

Unit cell a=4.076 b=4.076 c=6.829 alpha=107.36 beta=107.36 gamma=90.00
Fractional coordinates of all 5 atoms:
Zn (0.404, 0.404, 0.808)
Zn (0.596, 0.596, 0.192)
Hg (0.250, 0.750, 0.500)
Hg (0.750, 0.250, 0.500)
Ga (0.000, 0.000, 0.000)

Calculated values
As for the symmetry: No. 139. The energy of formation from the pure elements is 88 kJ/mol of formula units.

---

15.
VASP calculation (PBEsol) on crystalline KTeAs2 at its relaxed geometry.

Unit cell a=3.730 b=3.730 c=8.450 alpha=90.00 beta=90.00 gamma=90.00
Fractional coordinates of all 4 atoms:
As (0.000, 0.000, 0.133)
As (0.500, 0.500, 0.079)
K (0.000, 0.000, 0.519)
Te (0.500, 0.500, 0.769)

Calculated values
As for the symmetry: No. 99. For the raw formation energy, the calculation gives -0.05 eV/atom.

---

16.
VASP calculation (PBEsol) on crystalline BaTl2Hg at its relaxed geometry.

Unit cell a=4.014 b=4.988 c=6.450 alpha=90.00 beta=102.89 gamma=90.00
Fractional coordinates of all 4 atoms:
Tl (0.822, 0.000, 0.710)
Tl (0.178, 0.000, 0.290)
Hg (0.000, 0.500, 0.500)
Ba (0.500, 0.500, 0.000)

Calculated values
The relative energy among the computed polymorphs comes out at 0.086 eV/atom. As for the symmetry: No. 10. The energy of formation from the pure elements is -110 kJ/mol of formula units.

---

17.
VASP calculation (PBEsol) on crystalline ZrCuTe2 at its relaxed geometry.

Unit cell a=3.725 b=3.813 c=7.434 alpha=104.86 beta=104.51 gamma=90.00
Fractional coordinates of all 4 atoms:
Cu (0.284, 0.784, 0.568)
Te (0.018, 0.018, 0.037)
Te (0.767, 0.267, 0.534)
Zr (0.430, 0.430, 0.861)

Calculated values
As for the symmetry: No. 44. For the raw formation energy, the calculation gives -0.51 eV/atom.

---

18.
VASP calculation (PBEsol) on crystalline NiMo2Au at its relaxed geometry.

Unit cell a=4.368 b=4.368 c=4.368 alpha=60.00 beta=60.00 gamma=60.00
Fractional coordinates of all 4 atoms:
Au (0.000, 0.000, 0.000)
Mo (0.250, 0.250, 0.250)
Mo (0.750, 0.750, 0.750)
Ni (0.500, 0.500, 0.500)

Calculated values
The relative energy among the computed polymorphs comes out at 0.413 eV/atom. As for the symmetry: No. 225. The energy of formation from the pure elements is 206 kJ/mol of formula units.

---

19.
VASP calculation (PBEsol) on crystalline AlHgBr2 at its relaxed geometry.

Unit cell a=3.411 b=3.411 c=8.194 alpha=90.00 beta=90.00 gamma=90.00
Fractional coordinates of all 4 atoms:
Hg (0.000, 0.000, 0.517)
Br (0.000, 0.000, 0.940)
Br (0.500, 0.500, 0.297)
Al (0.500, 0.500, 0.747)

Calculated values
As for the symmetry: No. 99. For the raw formation energy, the calculation gives -0.17 eV/atom.

---

20.
VASP calculation (PBEsol) on crystalline YInBr2 at its relaxed geometry.

Unit cell a=3.680 b=4.749 c=5.820 alpha=89.98 beta=90.00 gamma=90.00
Fractional coordinates of all 4 atoms:
Y (0.000, 0.500, 0.500)
Br (0.000, 0.000, 0.000)
Br (0.500, 0.000, 0.500)
In (0.500, 0.500, 0.000)

Calculated values
The relative energy among the computed polymorphs comes out at 0.000 eV/atom. As for the symmetry: No. 47. For the raw formation energy, the calculation gives -0.85 eV/atom.

---

Number 1: VASP energy -3.703 eV/atom, total magnetic moment 0.00 μB per formula unit. Number 2: VASP energy -3.284 eV/atom, total magnetic moment 1.78 μB per formula unit. Number 3: VASP energy -1.386 eV/atom, total magnetic moment 0.00 μB per formula unit. Number 4: VASP energy -5.433 eV/atom, total magnetic moment 1.89 μB per formula unit. Number 5: VASP energy -4.050 eV/atom, total magnetic moment 0.00 μB per formula unit. Number 6: VASP energy -2.185 eV/atom, total magnetic moment 0.00 μB per formula unit. Number 7: VASP energy -4.677 eV/atom, total magnetic moment 0.00 μB per formula unit. Number 8: VASP energy -2.288 eV/atom, total magnetic moment 0.00 μB per formula unit. Number 9: VASP energy -3.626 eV/atom, total magnetic moment 0.00 μB per formula unit. Number 10: VASP energy -6.050 eV/atom, total magnetic moment 0.00 μB per formula unit. Number 11: VASP energy -4.025 eV/atom, total magnetic moment 0.00 μB per formula unit. Number 12: VASP energy -5.642 eV/atom, total magnetic moment 0.00 μB per formula unit. Number 13: VASP energy -9.836 eV/atom, total magnetic moment 0.00 μB per formula unit. Number 14: VASP energy -1.344 eV/atom, total magnetic moment 0.00 μB per formula unit. Number 15: VASP energy -3.772 eV/atom, total magnetic moment 0.00 μB per formula unit. Number 16: VASP energy -2.278 eV/atom, total magnetic moment 0.00 μB per formula unit. Number 17: VASP energy -5.630 eV/atom, total magnetic moment 0.00 μB per formula unit. Number 18: VASP energy -7.870 eV/atom, total magnetic moment 0.00 μB per formula unit. Number 19: VASP energy -2.272 eV/atom, total magnetic moment 0.00 μB per formula unit. Number 20: VASP energy -4.239 eV/atom, total magnetic moment 0.00 μB per formula unit.